Entry from Alexandria: a PBEsol-optimized structure of TlCrCl (SCAN).

Calculated density = 5.630 g/cm3
Formation energy (no corrections) = 185 meV per atom
E_tot = -32.72 eV per atom
Size of the total moment = 5.7 μB per cell
SG = F-43m (216)

a b c (Å): 4.956 4.956 4.956
angles (deg): 60.00 60.00 60.00
Each line ends with the local moment (μB).
Atoms (fractional coordinates):
Cr: 0.500 0.500 0.500  4.50
Cl: 0.000 0.000 0.000  0.14
Tl: 0.250 0.250 0.250  0.15

---

Entry from Alexandria: a PBEsol-optimized structure of TlGeSbO5 (SCAN).

Calculated density = 6.562 g/cm3
Formation energy (no corrections) = -1538 meV per atom
E_tot = -21.52 eV per atom
Size of the total moment = 0.0 μB per cell
SG = Pna2_1 (33)

a b c (Å): 6.668 10.854 13.394
angles (deg): 90.00 90.00 90.00
Atoms (fractional coordinates):
Sb: 0.260 0.752 0.243
Sb: 0.012 0.495 0.119
Sb: 0.988 0.995 0.881
Sb: 0.760 0.252 0.257
Sb: 0.740 0.252 0.757
Sb: 0.512 0.995 0.381
Sb: 0.488 0.495 0.619
Sb: 0.240 0.752 0.743
O: 0.657 0.266 0.901
O: 0.965 0.122 0.236
O: 0.782 0.528 0.603
O: 0.943 0.383 0.775
O: 0.673 0.241 0.113
O: 0.193 0.457 0.610
O: 0.557 0.383 0.275
O: 0.047 0.608 0.003
O: 0.546 0.128 0.281
O: 0.218 0.028 0.397
O: 0.843 0.266 0.401
O: 0.343 0.766 0.099
O: 0.954 0.128 0.781
O: 0.327 0.741 0.887
O: 0.503 0.863 0.486
O: 0.023 0.872 0.774
O: 0.282 0.028 0.897
O: 0.057 0.883 0.225
O: 0.157 0.766 0.599
O: 0.454 0.628 0.719
O: 0.547 0.108 0.497
O: 0.807 0.957 0.390
O: 0.173 0.741 0.387
O: 0.718 0.528 0.103
O: 0.693 0.957 0.890
O: 0.465 0.622 0.264
O: 0.535 0.122 0.736
O: 0.523 0.372 0.726
O: 0.977 0.372 0.226
O: 0.307 0.457 0.110
O: 0.443 0.883 0.725
O: 0.035 0.622 0.764
O: 0.997 0.863 0.986
O: 0.953 0.108 0.997
O: 0.497 0.363 0.514
O: 0.827 0.241 0.613
O: 0.003 0.363 0.014
O: 0.046 0.628 0.219
O: 0.453 0.608 0.503
O: 0.477 0.872 0.274
Tl: 0.699 0.935 0.107
Tl: 0.220 0.171 0.613
Tl: 0.301 0.435 0.893
Tl: 0.199 0.435 0.393
Tl: 0.801 0.935 0.607
Tl: 0.720 0.671 0.887
Tl: 0.280 0.171 0.113
Tl: 0.780 0.671 0.387
Ge: 0.984 0.497 0.683
Ge: 0.681 0.248 0.503
Ge: 0.016 0.997 0.317
Ge: 0.319 0.748 0.497
Ge: 0.484 0.997 0.817
Ge: 0.516 0.497 0.183
Ge: 0.181 0.748 0.997
Ge: 0.819 0.248 0.003